1.
! SmHo2Sb3 PBE-GGA relaxed; values from VASP
&SYSTEM
  ibrav = 0, nat = 6, ntyp = 3
/
ATOMIC_SPECIES
Sm 150.36 Sm.upf
Ho 164.93 Ho.upf
Sb 121.76 Sb.upf
CELL_PARAMETERS angstrom
4.397 0.000 0.000
-2.199 3.808 0.000
0.000 0.000 10.779
ATOMIC_POSITIONS crystal
Sm 0.000 0.000 0.000
Ho 0.333 0.667 0.334
Ho 0.667 0.333 0.666
Sb 0.000 0.000 0.500
Sb 0.333 0.667 0.829
Sb 0.667 0.333 0.171
! Magnetization   0.00 μB per cell
! VASP energy   -5.5064 eV/atom

***

2.
! TaNbSn2Se4 PBE-GGA relaxed; values from VASP
&SYSTEM
  ibrav = 0, nat = 8, ntyp = 4
/
ATOMIC_SPECIES
Ta 180.95 Ta.upf
Nb 92.91 Nb.upf
Sn 118.71 Sn.upf
Se 78.96 Se.upf
CELL_PARAMETERS angstrom
3.450 0.000 0.000
-1.725 2.988 0.000
0.000 0.000 18.551
ATOMIC_POSITIONS crystal
Ta 0.000 0.000 0.000
Nb 0.667 0.333 0.500
Sn 0.333 0.667 0.251
Sn 0.333 0.667 0.749
Se 0.333 0.667 0.090
Se 0.333 0.667 0.409
Se 0.333 0.667 0.591
Se 0.333 0.667 0.910
! Magnetization   0.00 μB per cell
! VASP energy   -6.1400 eV/atom